Entry 1:
DFT (PBE-GGA) results for La2Al3Ru after structural relaxation.

abc: 5.610 5.610 5.610
angles: 60.26 60.26 60.26
Positions (direct):
La  0.126  0.126  0.126
La  0.874  0.874  0.874
Al  0.000  0.500  0.500
Al  0.500  0.000  0.500
Al  0.500  0.500  0.000
Ru  0.500  0.500  0.500

Results
N(E_F) ... 4.87 states/eV/f.u.
Formation energy from the elements ... -0.4786 eV per atom
Symmetry ... R-3m, No. 166
Total energy ... -33.2 eV/cell

***

Entry 2:
DFT (PBE-GGA) results for LaAl2Ru2 after structural relaxation.

abc: 6.142 6.142 6.142
angles: 139.92 139.92 57.98
Positions (direct):
La  0.000  0.000  0.000
Al  0.250  0.750  0.500
Al  0.750  0.250  0.500
Ru  0.385  0.385  0.000
Ru  0.615  0.615  0.000

Results
N(E_F) ... 3.26 states/eV/f.u.
Formation energy from the elements ... -0.4829 eV per atom
Symmetry ... I4/mmm, No. 139
Energy relative to the lowest polymorph listed for this composition ... 1 meV per atom
Total energy ... -33.4 eV/cell

***

Entry 3:
DFT (PBE-GGA) results for La4AlRu after structural relaxation.

abc: 6.249 6.249 6.249
angles: 60.00 60.00 60.00
Positions (direct):
La  0.125  0.125  0.125
La  0.125  0.125  0.626
La  0.125  0.626  0.125
La  0.626  0.125  0.125
Al  0.500  0.500  0.500
Ru  0.750  0.750  0.750

Results
N(E_F) ... 9.07 states/eV/f.u.
Formation energy from the elements ... 0.6738 eV per atom
Symmetry ... F-43m, No. 216
Energy relative to the lowest polymorph listed for this composition ... 928 meV per atom
Total energy ... -28.7 eV/cell

***

Entry 4:
DFT (PBE-GGA) results for LaAl3Ru after structural relaxation.

abc: 5.333 5.333 5.333
angles: 90.00 90.00 90.00
Positions (direct):
La  0.000  0.000  0.000
Al  0.000  0.000  0.500
Al  0.000  0.500  0.000
Al  0.500  0.000  0.000
Ru  0.500  0.500  0.500

Results
N(E_F) ... 8.74 states/eV/f.u.
Formation energy from the elements ... 2.0648 eV per atom
Symmetry ... Pm-3m, No. 221
Energy relative to the lowest polymorph listed for this composition ... 2604 meV per atom
Total energy ... -15.1 eV/cell

***

Entry 5:
DFT (PBE-GGA) results for LaAl2Ru after structural relaxation.

abc: 3.278 3.303 7.269
angles: 90.00 90.05 90.00
Positions (direct):
La  0.000  0.000  0.000
Al  0.500  0.500  0.662
Al  0.998  0.000  0.440
Ru  0.498  0.500  0.294

Results
N(E_F) ... 3.95 states/eV/f.u.
Formation energy from the elements ... -0.3370 eV per atom
Symmetry ... Pm, No. 6
Total energy ... -23.0 eV/cell

***

Entry 6:
DFT (PBE-GGA) results for LaAlRu3 after structural relaxation.

abc: 4.840 4.840 4.840
angles: 90.00 90.00 90.00
Positions (direct):
La  0.000  0.000  0.000
Al  0.500  0.500  0.500
Ru  0.000  0.000  0.500
Ru  0.000  0.500  0.000
Ru  0.500  0.000  0.000

Results
N(E_F) ... 7.94 states/eV/f.u.
Formation energy from the elements ... 1.7831 eV per atom
Symmetry ... Pm-3m, No. 221
Energy relative to the lowest polymorph listed for this composition ... 1457 meV per atom
Total energy ... -27.6 eV/cell